Compound: VOF
Source: Alexandria
Functional: PBE+U
Structure: relaxed

Lattice parameters (Å, degrees): 3.1268 3.1268 4.8677 90.00 90.00 120.00
Sites, in units of the cell vectors:
V1 0.0000 0.0000 0.0000
O1 0.3333 0.6667 0.8410
F1 0.6667 0.3333 0.2404

Results
Final energy, eV/atom: -7.055
Space group: P3m1